Below is a relaxed structure of TlIn, with properties calculated at the GGA-PBE level.

abc: 10.1468 17.2291 5.6923
angles: 90.00 90.00 90.00
With the nearest neighbours (Å) after each atom.
Positions (direct):
In 0.5000 0.4137 0.0000  3 In 2.97-3.20, 2 Tl 3.29
Tl 0.6604 0.0000 0.0000  3 Tl 3.25-3.38, 6 In 3.29-3.60
Tl 0.8396 0.0000 0.5000  3 Tl 3.25-3.38, 6 In 3.29-3.60
Tl 0.3396 0.5000 0.5000  3 Tl 3.25-3.38, 6 In 3.29-3.60
In 0.0000 0.4137 0.5000  3 In 2.97-3.20, 2 Tl 3.29
Tl 0.9104 0.2500 0.7500  3 Tl 3.25-3.38, 6 In 3.29-3.60
Tl 0.4104 0.7500 0.7500  3 Tl 3.25-3.38, 6 In 3.29-3.60
Tl 0.1604 0.0000 0.5000  3 Tl 3.25-3.38, 6 In 3.29-3.60
In 0.2500 0.1637 0.7500  3 In 2.97-3.20, 2 Tl 3.29
In 0.0000 0.5863 0.5000  3 In 2.97-3.20, 2 Tl 3.29
Tl 0.3396 0.0000 0.0000  3 Tl 3.25-3.38, 6 In 3.29-3.60
In 0.7500 0.1637 0.2500  3 In 2.97-3.20, 2 Tl 3.29
In 0.7500 0.8363 0.7500  3 In 2.97-3.20, 2 Tl 3.29
In 0.0000 0.0863 0.0000  3 In 2.97-3.20, 2 Tl 3.29
Tl 0.4104 0.2500 0.2500  3 Tl 3.25-3.38, 6 In 3.29-3.60
In 0.5000 0.9137 0.5000  3 In 2.97-3.20, 2 Tl 3.29
Tl 0.6604 0.5000 0.5000  3 Tl 3.25-3.38, 6 In 3.29-3.60
In 0.2500 0.6637 0.2500  3 In 2.97-3.20, 2 Tl 3.29
In 0.2500 0.3363 0.7500  3 In 2.97-3.20, 2 Tl 3.29
Tl 0.5896 0.2500 0.7500  3 Tl 3.25-3.38, 6 In 3.29-3.60
In 0.5000 0.5863 0.0000  3 In 2.97-3.20, 2 Tl 3.29
In 0.0000 0.9137 0.0000  3 In 2.97-3.20, 2 Tl 3.29
Tl 0.8396 0.5000 0.0000  3 Tl 3.25-3.38, 6 In 3.29-3.60
Tl 0.0896 0.7500 0.7500  3 Tl 3.25-3.38, 6 In 3.29-3.60
In 0.7500 0.6637 0.7500  3 In 2.97-3.20, 2 Tl 3.29
Tl 0.0896 0.2500 0.2500  3 Tl 3.25-3.38, 6 In 3.29-3.60
Tl 0.1604 0.5000 0.0000  3 Tl 3.25-3.38, 6 In 3.29-3.60
In 0.5000 0.0863 0.5000  3 In 2.97-3.20, 2 Tl 3.29
In 0.7500 0.3363 0.2500  3 In 2.97-3.20, 2 Tl 3.29
In 0.2500 0.8363 0.2500  3 In 2.97-3.20, 2 Tl 3.29
Tl 0.9104 0.7500 0.2500  3 Tl 3.25-3.38, 6 In 3.29-3.60
Tl 0.5896 0.7500 0.2500  3 Tl 3.25-3.38, 6 In 3.29-3.60

Summary:
**Space group**: Fddd, No. 70
**V**: 995.13 Å³/cell


Below is a relaxed structure of TlIn2, with properties calculated at the GGA-PBE level.

abc: 4.4419 4.4419 4.8571
angles: 90.00 90.00 90.00
With the nearest neighbours (Å) after each atom.
Positions (direct):
Tl 0.0000 0.0000 0.0000  8 In 3.29
In 0.5000 0.0000 0.5000  4 In 3.14, 4 Tl 3.29
In 0.0000 0.5000 0.5000  4 In 3.14, 4 Tl 3.29

Summary:
**Space group**: P4/mmm, No. 123
**V**: 95.83 Å³/cell


Below is a relaxed structure of Tl2In5, with properties calculated at the GGA-PBE level.

abc: 5.4858 5.4858 8.2482
angles: 70.58 70.58 60.00
With the nearest neighbours (Å) after each atom.
Positions (direct):
Tl 0.3581 0.3581 0.9258  5 In 3.24-3.35, 3 Tl 3.36
In 0.5000 0.5000 0.5000  2 Tl 3.24, 6 In 3.34
In 0.9271 0.9271 0.2187  5 In 3.20-3.35, 3 Tl 3.35
Tl 0.6419 0.6419 0.0742  5 In 3.24-3.35, 3 Tl 3.36
In 0.0729 0.0729 0.7813  5 In 3.20-3.35, 3 Tl 3.35
In 0.2132 0.2132 0.3605  7 In 3.20-3.35, 1 Tl 3.31
In 0.7868 0.7868 0.6395  7 In 3.20-3.35, 1 Tl 3.31

Summary:
**Space group**: R-3m, No. 166
**V**: 198.49 Å³/cell


Below is a relaxed structure of Tm6TlIn5, with properties calculated at the GGA-PBE level.

abc: 5.2918 7.3852 8.3633
angles: 90.00 71.51 89.99
With the nearest neighbours (Å) after each atom.
Positions (direct):
Tm 0.8330 0.2508 0.3342  7 In 3.22-3.23, 1 Tl 3.23
In 0.6668 0.0000 0.6664  8 Tm 3.22-3.23
Tm 0.1670 0.7492 0.6658  7 In 3.22-3.23, 1 Tl 3.23
In 0.0000 0.5000 0.0000  8 Tm 3.22-3.23
In 0.3332 0.0000 0.3336  8 Tm 3.22-3.23
Tm 0.5001 0.2507 0.0000  6 In 3.22-3.23, 2 Tl 3.23
Tl 0.0000 0.0000 0.0000  8 Tm 3.23
Tm 0.4999 0.7493 0.0000  6 In 3.22-3.23, 2 Tl 3.23
In 0.3337 0.5000 0.3329  8 Tm 3.22
In 0.6663 0.5000 0.6671  8 Tm 3.22
Tm 0.8330 0.7492 0.3342  7 In 3.22-3.23, 1 Tl 3.23
Tm 0.1670 0.2508 0.6658  7 In 3.22-3.23, 1 Tl 3.23

Summary:
**Space group**: Cmmm, No. 65
**V**: 309.97 Å³/cell


Below is a relaxed structure of Tm4TlIn3, with properties calculated at the GGA-PBE level.

abc: 4.0352 4.5984 11.6622
angles: 90.00 90.00 90.00
With the nearest neighbours (Å) after each atom.
Positions (direct):
Tm 0.0000 0.0000 0.1472  4 Tl 3.14, 3 In 3.15-3.37
In 0.0000 0.5000 0.5812  2 In 2.99, 7 Tm 3.14-3.34
Tm 0.5000 0.0000 0.6485  7 In 3.12-3.37
Tm 0.5000 0.5000 0.3532  1 Tl 3.11, 6 In 3.15-3.34
In 0.5000 0.0000 0.9160  2 Tl 3.04, 7 Tm 3.12-3.37
Tl 0.5000 0.5000 0.0863  2 In 3.04, 5 Tm 3.11-3.14
In 0.0000 0.0000 0.4172  2 In 2.99, 5 Tm 3.15
Tm 0.0000 0.5000 0.8505  5 In 3.14-3.15, 2 Tl 3.41

Summary:
**Space group**: Pmm2, No. 25
**V**: 216.40 Å³/cell


Below is a relaxed structure of Tm2TlIn, with properties calculated at the GGA-PBE level.

abc: 3.5586 3.5586 8.2601
angles: 90.00 90.00 90.00
With the nearest neighbours (Å) after each atom.
Positions (direct):
Tl 0.5000 0.5000 0.5000  8 Tm 3.27, 4 Tl 3.56
In 0.5000 0.5000 0.0000  8 Tm 3.24, 4 In 3.56
Tm 0.0000 0.0000 0.2477  4 In 3.24, 4 Tl 3.27, 4 Tm 3.56
Tm 0.0000 0.0000 0.7523  4 In 3.24, 4 Tl 3.27, 4 Tm 3.56

Summary:
**Space group**: P4/mmm, No. 123
**V**: 104.60 Å³/cell


Results for calculated formation energy: 1.920 3.185 0.357 -9.209 -8.005 -8.298 (in kcal/mol of atoms, following the order of the records).